Record 1
Re2HgTe: relaxed, PBE.

The structure belongs to space group P4/mmm (No. 123); the cell edges are 3.2430, 3.2430 and 6.7481 Å and the angles 90.00°, 90.00° and 90.00°. Symmetry generates all atoms from Re at (0.0000, 0.0000, 0.2284), Hg at (0.5000, 0.5000, 0.5000) and Te at (0.5000, 0.5000, 0.0000).

As for the energy above the most stable polymorph in this dataset: 669 meV/atom. For the formation energy from raw total energies, the calculation gives 4.1 eV/f.u.

---

Record 2
Ac3Pm2Zn3: relaxed, PBE.

The structure belongs to space group Immm (No. 71); the cell edges are 3.8763, 5.6122 and 22.8495 Å and the angles 90.00°, 90.00° and 90.00°. Symmetry generates all atoms from Ac at (0.0000, 0.0000, 0.0000), Ac at (0.0000, 0.5000, 0.1196), Pm at (0.0000, 0.0000, 0.2303), Zn at (0.0000, 0.0000, 0.5000) and Zn at (0.0000, 0.5000, 0.3768).

The calculation puts the total energy at -54.3 eV/cell.